[1]
# PBE Be2ZnAgP, optimized geometry
# * E_form: 1.0135 eV per atom
# * total magnetic moment: 0.0 μB/cell
data_Be2ZnAgP
_chemical_formula_sum 'Be2 Zn1 Ag1 P1'
_cell_length_a 4.314
_cell_length_b 4.314
_cell_length_c 4.948
_cell_angle_alpha 90.00
_cell_angle_beta 90.00
_cell_angle_gamma 90.00
_space_group_name_H-M_alt 'P 4/m m m'
_space_group_IT_number 123
_space_group_name_Hall '-P 4 2'
loop_
_atom_site_label
_atom_site_fract_x
_atom_site_fract_y
_atom_site_fract_z
_atom_site_occupancy
Be1 0.000 0.500 0.000 1
Zn1 0.000 0.000 0.500 1
Ag1 0.500 0.500 0.000 1
P1 0.500 0.500 0.500 1

***

[2]
# PBE La2ScGa3Ir4, optimized geometry
# * E_form: -0.7795 eV per atom
# * total magnetic moment: 0.0 μB/cell
data_La2ScGa3Ir4
_chemical_formula_sum 'La2 Sc1 Ga3 Ir4'
_cell_length_a 4.273
_cell_length_b 4.273
_cell_length_c 10.892
_cell_angle_alpha 90.00
_cell_angle_beta 90.00
_cell_angle_gamma 90.00
_space_group_name_H-M_alt 'P -4 m 2'
_space_group_IT_number 115
_space_group_name_Hall 'P -4 -2'
loop_
_atom_site_label
_atom_site_fract_x
_atom_site_fract_y
_atom_site_fract_z
_atom_site_occupancy
La1 0.000 0.500 0.230 1
Sc1 0.000 0.000 0.500 1
Ga1 0.000 0.500 0.880 1
Ga2 0.500 0.500 0.500 1
Ir1 0.000 0.000 0.000 1
Ir2 0.000 0.500 0.646 1
Ir3 0.500 0.500 0.000 1

***

[3]
# PBE NaPu2Cl8, optimized geometry
# * raw formation energy: -1.727 eV per atom
# * total magnetic moment: 18.0 μB/cell
# * energy above the most stable polymorph in this dataset: 46.2 meV/atom
data_NaPu2Cl8
_chemical_formula_sum 'Na2 Pu4 Cl16'
_cell_length_a 8.439
_cell_length_b 12.366
_cell_length_c 5.430
_cell_angle_alpha 90.00
_cell_angle_beta 101.22
_cell_angle_gamma 90.00
_space_group_name_H-M_alt 'C 1 2/m 1'
_space_group_IT_number 12
_space_group_name_Hall '-C 2y'
loop_
_atom_site_label
_atom_site_fract_x
_atom_site_fract_y
_atom_site_fract_z
_atom_site_occupancy
Na1 0.000 0.000 0.000 1
Pu1 0.000 0.319 0.500 1
Cl1 0.000 0.247 0.000 1
Cl2 0.110 0.500 0.783 1
Cl3 0.195 0.135 0.591 1

***

[4]
# PBE LiCoSi2, optimized geometry
# * raw formation energy: -0.202 eV per atom
# * total magnetic moment: 0.0 μB/cell
# * energy above the most stable polymorph in this dataset: 86.8 meV/atom
data_LiCoSi2
_chemical_formula_sum 'Li3 Co3 Si6'
_cell_length_a 2.6929
_cell_length_b 2.6929
_cell_length_c 24.1337
_cell_angle_alpha 90.00
_cell_angle_beta 90.00
_cell_angle_gamma 120.00
_space_group_name_H-M_alt 'R -3 m'
_space_group_IT_number 166
_space_group_name_Hall '-R 3 2"'
loop_
_atom_site_label
_atom_site_fract_x
_atom_site_fract_y
_atom_site_fract_z
_atom_site_occupancy
Li1 0.0000 0.0000 0.0000 1
Co1 0.0000 0.0000 0.5000 1
Si1 0.0000 0.0000 0.2421 1

***

[5]
# PBE TlAsSe2, optimized geometry
# * raw formation energy: -0.250 eV per atom
# * total magnetic moment: 0.0 μB/cell
data_TlAsSe2
_chemical_formula_sum 'Tl4 As4 Se8'
_cell_length_a 6.792
_cell_length_b 10.367
_cell_length_c 6.998
_cell_angle_alpha 90.00
_cell_angle_beta 103.96
_cell_angle_gamma 90.00
_space_group_name_H-M_alt 'P 1 21/c 1'
_space_group_IT_number 14
_space_group_name_Hall '-P 2ybc'
loop_
_atom_site_label
_atom_site_fract_x
_atom_site_fract_y
_atom_site_fract_z
_atom_site_occupancy
Tl1 0.167 0.013 0.284 1
As1 0.427 0.660 0.349 1
Se1 0.185 0.750 0.026 1
Se2 0.305 0.057 0.782 1

***

[6]
# PBE RuPtW2Au, optimized geometry
# * E_form: 2.6226 eV per atom
# * total magnetic moment: 0.0 μB/cell
data_RuPtW2Au
_chemical_formula_sum 'Ru1 Pt1 W2 Au1'
_cell_length_a 4.771
_cell_length_b 4.771
_cell_length_c 4.802
_cell_angle_alpha 90.00
_cell_angle_beta 90.00
_cell_angle_gamma 90.00
_space_group_name_H-M_alt 'P 4/m m m'
_space_group_IT_number 123
_space_group_name_Hall '-P 4 2'
loop_
_atom_site_label
_atom_site_fract_x
_atom_site_fract_y
_atom_site_fract_z
_atom_site_occupancy
Ru1 0.000 0.000 0.000 1
Pt1 0.500 0.500 0.000 1
W1 0.000 0.500 0.500 1
Au1 0.500 0.500 0.500 1